Entry 1:
A plane-wave DFT calculation with PBE was carried out for a relaxed structure of Li2NiW.

a b c (Å): 5.3745 5.3745 2.5672
angles (deg): 77.85 77.85 123.97
With the nearest neighbours (Å) after each atom.
Sites, in units of the cell vectors:
Li1 0.5000 0.5000 0.0000  6 Li 2.52-2.67, 2 W 2.72, 2 Ni 2.72
Li2 0.0000 0.0000 0.0000  6 Li 2.52-2.67, 2 Ni 2.72, 2 W 2.72
W1 0.0000 0.5000 0.5000  4 Ni 2.52-2.67, 2 W 2.57, 4 Li 2.72
Ni1 0.5000 0.0000 0.5000  4 W 2.52-2.67, 2 Ni 2.57, 4 Li 2.72

Output
The distance to the lowest polymorph of the same formula comes out at 9.41 kJ/mol of atoms. The calculation puts the energy at -5.3432 eV per atom. The energy of formation comes out at 0.297 eV/atom.

Entry 2:
A plane-wave DFT calculation with PBE was carried out for a relaxed structure of Li2ZnNiW.

a b c (Å): 4.0816 4.0816 4.8322
angles (deg): 90.00 90.00 90.00
With the nearest neighbours (Å) after each atom.
Sites, in units of the cell vectors:
Zn1 0.0000 0.0000 0.0000  4 Li 2.04
Ni1 0.5000 0.5000 0.5000  4 W 2.89, 8 Li 3.16
W1 0.0000 0.0000 0.5000  2 Zn 2.42
Li1 0.0000 0.5000 0.0000  2 Zn 2.04
Li2 0.5000 0.0000 0.0000  2 Zn 2.04

Output
The calculation puts the energy at -3.6457 eV per atom. The energy of formation comes out at 1.122 eV/atom.

Entry 3:
A plane-wave DFT calculation with PBE was carried out for a relaxed structure of LiZr2NiW.

a b c (Å): 4.8541 3.9714 4.8541
angles (deg): 90.00 90.00 90.00
With the nearest neighbours (Å) after each atom.
Sites, in units of the cell vectors:
Zr1 0.0000 0.0000 0.5000  2 Ni 2.43
Zr2 0.5000 0.0000 0.0000  2 Ni 2.43
Li1 0.0000 0.5000 0.0000  2 Ni 1.99
W1 0.5000 0.5000 0.5000  8 Zr 3.14, 4 Li 3.43
Ni1 0.0000 0.0000 0.0000  2 Li 1.99

Output
The calculation puts the energy at -6.8745 eV per atom. The energy of formation comes out at 0.674 eV/atom.

What did the second record say?
A plane-wave DFT calculation with PBE was carried out for a relaxed structure of Li2ZnNiW.

a b c (Å): 4.0816 4.0816 4.8322
angles (deg): 90.00 90.00 90.00
With the nearest neighbours (Å) after each atom.
Sites, in units of the cell vectors:
Zn1 0.0000 0.0000 0.0000  4 Li 2.04
Ni1 0.5000 0.5000 0.5000  4 W 2.89, 8 Li 3.16
W1 0.0000 0.0000 0.5000  2 Zn 2.42
Li1 0.0000 0.5000 0.0000  2 Zn 2.04
Li2 0.5000 0.0000 0.0000  2 Zn 2.04

Output
The calculation puts the energy at -3.6457 eV per atom. The energy of formation comes out at 1.122 eV/atom.